# MgZnBr2F | the Alexandria database | PBE-GGA | relaxed
data_MgZnBr2F
_chemical_formula_sum 'Mg1 Zn1 Br2 F1'
_cell_length_a 5.784
_cell_length_b 5.784
_cell_length_c 3.624
_cell_angle_alpha 90.00
_cell_angle_beta 90.00
_cell_angle_gamma 90.00
_symmetry_space_group_name_H-M 'P 4/m m m'
_symmetry_Int_Tables_number 123
_symmetry_space_group_name_Hall '-P 4 2'
loop_
_atom_site_label
_atom_site_type_symbol
_atom_site_fract_x
_atom_site_fract_y
_atom_site_fract_z
Mg1 Mg 0.000 0.000 0.000
Zn1 Zn 0.500 0.500 0.000
Br1 Br 0.000 0.500 0.500
F1 F 0.000 0.000 0.500
# formation energy without anion corrections: -5.19 eV/f.u.
# N(E_F): 3.15 states/eV/f.u.
# DFT total energy: -2.655 eV per atom